[1]
Compound: K3Rb3Zn4Sn3Se13
Source: Alexandria via LeMat-Bulk
Functional: PBE-GGA
Structure: relaxed

The theoretical density is 3.38 Mg/m³. The total energy comes out at -3.465 eV per atom. For the energy relative to the elements, uncorrected, the calculation gives -0.83 eV per atom.

It has space group R3m (No. 160, hexagonal axes), with a = 14.8588 Å, b = 14.8588 Å, c = 15.5466 Å, α = 90.00°, β = 90.00° and γ = 120.00°. Symmetry generates all atoms from K at (0.1896, 0.3792, 0.0000), Rb at (0.0303, 0.5151, 0.3647), Zn at (0.0000, 0.0000, 0.3562), Zn at (0.1888, 0.0944, 0.5627), Sn at (0.0333, 0.5166, 0.0917), Se at (0.0000, 0.0000, 0.5144), Se at (0.0531, 0.3793, 0.1781), Se at (0.0898, 0.1796, 0.2930) and Se at (0.1733, 0.0866, 0.7210).



[2]
Compound: KRbTeSe2
Source: Alexandria via LeMat-Bulk
Functional: PBE-GGA
Structure: relaxed

The theoretical density is 3.90 Mg/m³. The total energy comes out at -3.186 eV per atom. For the energy relative to the elements, uncorrected, the calculation gives -0.75 eV per atom.

It has space group P2/c (No. 13), with a = 7.8545 Å, b = 4.2013 Å, c = 10.5955 Å, α = 90.00°, β = 90.80° and γ = 90.00°. Symmetry generates all atoms from K at (0.0000, 0.9999, 0.2500), Rb at (0.5000, 0.4972, 0.2500), Te at (0.0000, 0.5000, 0.0000) and Se at (0.2576, 0.9999, 0.0022).